Y2CoSi3Pt4 after structural relaxation, computed with PBE.

```
Y2CoSi3Pt4
1.0
4.1702 0.0000 0.0000
0.0000 4.1702 0.0000
0.0000 0.0000 9.9769
Y Co Si Pt
2 1 3 4
Direct
0.0000 0.5000 0.2435
0.5000 0.0000 0.7565
0.5000 0.5000 0.0000
0.0000 0.0000 0.0000
0.0000 0.5000 0.6340
0.5000 0.0000 0.3660
0.0000 0.0000 0.5000
0.0000 0.5000 0.8689
0.5000 0.0000 0.1311
0.5000 0.5000 0.5000
```

Computed properties:
For the energy relative to the elements, uncorrected, the calculation gives -0.965 eV per atom. For the theoretical density, the calculation gives 10.541 g/cm³.